## La2Sb2Pd3 (GGA-PBE)

Data for La2Sb2Pd3 after structural relaxation.

The structure belongs to space group C2/m (No. 12); the cell edges are 11.350, 4.399 and 7.122 Å and the angles 90.00°, 113.12° and 90.00°. The distinct sites, in fractional coordinates, are La at (0.134, 0.000, 0.252), Sb at (0.150, 0.000, 0.733), Pd at (0.000, 0.500, 0.500) and Pd at (0.105, 0.500, 0.933).

The calculation puts the density of states at the Fermi level at 7.8 states/eV per cell. For the final energy, the calculation gives -80.189 eV/cell. The calculation puts the uncorrected formation energy at -0.917 eV per atom. Its crystal system is monoclinic.

***

## Tc2PbW (GGA-PBE)

Data for Tc2PbW after structural relaxation.

The structure belongs to space group F-43m (No. 216); the cell edges are 6.482, 6.482 and 6.482 Å and the angles 90.00°, 90.00° and 90.00°. The distinct sites, in fractional coordinates, are Tc at (0.000, 0.000, 0.000), Tc at (0.250, 0.250, 0.250), Pb at (0.250, 0.250, 0.750) and W at (0.000, 0.000, 0.500).

The calculation puts the density of states at the Fermi level at 16.7 states/eV per cell. Its energy relative to the elements is 78.7 kJ per mole of atoms. For the final energy, the calculation gives -136.524 eV/cell. Its crystal system is cubic.

***

## K3Na5Br8 (GGA-PBE)

Data for K3Na5Br8 after structural relaxation.

The structure belongs to space group R-3m (No. 166, hexagonal axes); the cell edges are 8.8648, 8.8648 and 21.8942 Å and the angles 90.00°, 90.00° and 120.00°. The distinct sites, in fractional coordinates, are K at (0.0000, 0.5000, 0.0000), Na at (0.0000, 0.0000, 0.0000), Na at (0.0000, 0.0000, 0.5000), Na at (0.0000, 0.5000, 0.5000), Br at (0.0000, 0.0000, 0.2411) and Br at (0.0114, 0.5057, 0.7557).

The calculation puts the density of states at the Fermi level at 0.0 states/eV per cell. For the final energy, the calculation gives -147.275 eV/cell. The calculation puts the uncorrected formation energy at -1.614 eV per atom. Its crystal system is trigonal.

***

## SbWSe2 (GGA-PBE)

Data for SbWSe2 after structural relaxation.

The structure belongs to space group Immm (No. 71); the cell edges are 3.386, 4.756 and 12.034 Å and the angles 90.00°, 90.00° and 90.00°. The distinct sites, in fractional coordinates, are Sb at (0.000, 0.000, 0.000), W at (0.000, 0.000, 0.500) and Se at (0.000, 0.500, 0.163).

The calculation puts the density of states at the Fermi level at 8.8 states/eV per cell. For the final energy, the calculation gives -45.927 eV/cell. The calculation puts the uncorrected formation energy at 0.270 eV per atom. Its crystal system is orthorhombic.

***

## BaScFe2 (GGA-PBE)

Data for BaScFe2 after structural relaxation.

The structure belongs to space group Imm2 (No. 44); the cell edges are 3.722, 4.315 and 12.296 Å and the angles 90.00°, 90.00° and 90.00°. The distinct sites, in fractional coordinates, are Ba at (0.000, 0.000, 0.000), Sc at (0.000, 0.500, 0.245), Fe at (0.000, 0.000, 0.355) and Fe at (0.000, 0.500, 0.777).

The calculation puts the density of states at the Fermi level at 8.1 states/eV per cell. Its energy relative to the elements is 40.6 kJ per mole of atoms. For the final energy, the calculation gives -46.995 eV/cell. Its crystal system is orthorhombic.

***

## AcSm2Tl2Hg2 (GGA-PBE)

Data for AcSm2Tl2Hg2 after structural relaxation.

The structure belongs to space group R-3m (No. 166, hexagonal axes); the cell edges are 5.0989, 5.0989 and 28.1369 Å and the angles 90.00°, 90.00° and 120.00°. The distinct sites, in fractional coordinates, are Ac at (0.0000, 0.0000, 0.0000), Sm at (0.0000, 0.0000, 0.1350), Tl at (0.0000, 0.0000, 0.2655) and Hg at (0.0000, 0.0000, 0.4377).

The calculation puts the density of states at the Fermi level at 11.8 states/eV per cell. Its energy relative to the elements is -25.8 kJ per mole of atoms. For the final energy, the calculation gives -62.270 eV/cell. Its crystal system is trigonal.

***

## Tm4GaPd2 (GGA-PBE)

Data for Tm4GaPd2 after structural relaxation.

The structure belongs to space group I4_1/amd (No. 141, origin choice 2); the cell edges are 9.046, 9.046 and 8.804 Å and the angles 90.00°, 90.00° and 90.00°. The distinct sites, in fractional coordinates, are Tm at (0.000, 0.061, 0.195), Ga at (0.000, 0.250, 0.875) and Pd at (0.000, 0.000, 0.500).

The calculation puts the density of states at the Fermi level at 22.7 states/eV per cell. Its energy relative to the elements is -50.1 kJ per mole of atoms. For the final energy, the calculation gives -139.722 eV/cell. Its crystal system is tetragonal.

***

## SmHo7Er12 (GGA-PBE)

Data for SmHo7Er12 after structural relaxation.

The structure belongs to space group Im-3m (No. 229); the cell edges are 11.177, 11.177 and 11.177 Å and the angles 90.00°, 90.00° and 90.00°. The distinct sites, in fractional coordinates, are Sm at (0.000, 0.000, 0.000), Ho at (0.000, 0.000, 0.500), Ho at (0.250, 0.250, 0.250) and Er at (0.000, 0.254, 0.254).

The calculation puts the density of states at the Fermi level at 48.6 states/eV per cell. Its energy relative to the elements is 70.7 kJ per mole of atoms. For the final energy, the calculation gives -153.734 eV/cell. Its crystal system is cubic.

***

## TmScSiRu (GGA-PBE)

Data for TmScSiRu after structural relaxation.

The structure belongs to space group F-43m (No. 216); the cell edges are 6.655, 6.655 and 6.655 Å and the angles 90.00°, 90.00° and 90.00°. The distinct sites, in fractional coordinates, are Tm at (0.000, 0.000, 0.000), Sc at (0.000, 0.000, 0.500), Si at (0.250, 0.250, 0.250) and Ru at (0.250, 0.250, 0.750).

The calculation puts the density of states at the Fermi level at 7.0 states/eV per cell. For the final energy, the calculation gives -110.272 eV/cell. The calculation puts the uncorrected formation energy at -0.517 eV per atom. Its crystal system is cubic.

***

## La5Si2Te2 (GGA-PBE)

Data for La5Si2Te2 after structural relaxation.

The structure belongs to space group Cmce (No. 64); the cell edges are 15.970, 8.214 and 8.244 Å and the angles 90.00°, 90.00° and 90.00°. The distinct sites, in fractional coordinates, are La at (0.000, 0.000, 0.000), La at (0.127, 0.175, 0.325), Si at (0.000, 0.114, 0.614) and Te at (0.207, 0.000, 0.000).

The calculation puts the density of states at the Fermi level at 41.6 states/eV per cell. For the final energy, the calculation gives -205.367 eV/cell. The calculation puts the uncorrected formation energy at -1.064 eV per atom. Its crystal system is orthorhombic.

***

## SrBeSb (GGA-PBE)

Data for SrBeSb after structural relaxation.

The structure belongs to space group Fmm2 (No. 42); the cell edges are 4.959, 5.425 and 11.331 Å and the angles 90.00°, 90.00° and 90.00°. The distinct sites, in fractional coordinates, are Sr at (0.000, 0.000, 0.000), Be at (0.000, 0.000, 0.297) and Sb at (0.000, 0.000, 0.712).

The calculation puts the density of states at the Fermi level at 6.4 states/eV per cell. For the final energy, the calculation gives -37.910 eV/cell. The calculation puts the uncorrected formation energy at 0.018 eV per atom. Its crystal system is orthorhombic.

***

## CdNiAgAu2 (GGA-PBE)

Data for CdNiAgAu2 after structural relaxation.

The structure belongs to space group P4/mmm (No. 123); the cell edges are 5.095, 5.095 and 5.065 Å and the angles 90.00°, 90.00° and 90.00°. The distinct sites, in fractional coordinates, are Cd at (0.000, 0.000, 0.000), Ni at (0.500, 0.500, 0.000), Ag at (0.000, 0.000, 0.500) and Au at (0.000, 0.500, 0.500).

The calculation puts the density of states at the Fermi level at 2.9 states/eV per cell. Its energy relative to the elements is 101.7 kJ per mole of atoms. For the final energy, the calculation gives -10.833 eV/cell. Its crystal system is tetragonal.